# CaSc2Pt | Alexandria | PBE | optimized geometry
# Excess energy over the best structure of this formula in the dataset in meV per atom: 222.7
# Total magnetic moment in μB per atom: 0.268
# Formation enthalpy at 0 K in eV/f.u.: -1.288
# Density of states at the Fermi level in states/eV per cell: 4.52
# SG: R3m (160)
# Energy in eV/atom: -5.4983
data_CaSc2Pt
_cell_length_a 9.572
_cell_length_b 9.572
_cell_length_c 9.572
_cell_angle_alpha 21.67
_cell_angle_beta 21.67
_cell_angle_gamma 21.67
_symmetry_space_group_name_H-M 'P 1'
_symmetry_Int_Tables_number 1
_symmetry_space_group_name_Hall 'P 1'
loop_
_atom_site_label
_atom_site_fract_x
_atom_site_fract_y
_atom_site_fract_z
Ca1 0.000 0.000 0.000
Sc1 0.536 0.536 0.536
Sc2 0.776 0.776 0.776
Pt1 0.260 0.260 0.260